(1)
VASP calculation (PBE-GGA) on YTmCo after structural relaxation.

```
YTmCo
1.0
0.000 3.299 3.299
3.299 0.000 3.299
3.299 3.299 0.000
Y Tm Co
1 1 1
direct
0.000 0.000 0.000
0.500 0.500 0.500
0.250 0.250 0.250
```

Properties
**Formation enthalpy at 0 K**: -17 kJ/mol of formula units
**Total DFT energy (no corrections)**: -0.223 hartree per atom

=====

(2)
VASP calculation (PBE-GGA) on Li3ZnS2 after structural relaxation.

```
Li3ZnS2
1.0
-3.043 5.933 2.942
3.043 -5.933 2.942
3.043 5.933 -2.942
Li Zn S
6 2 4
direct
0.017 0.750 0.267
0.250 0.250 0.000
0.483 0.750 0.733
0.517 0.250 0.267
0.750 0.750 0.000
0.983 0.250 0.733
0.000 0.500 0.500
0.500 0.000 0.500
0.140 0.208 0.348
0.360 0.708 0.068
0.640 0.292 0.932
0.860 0.792 0.652
```

Properties
**Raw formation energy**: -0.864 eV/atom
**Total DFT energy (no corrections)**: -0.125 hartree per atom

=====

(3)
VASP calculation (PBE-GGA) on Ac2BeAlPd6 after structural relaxation.

```
Ac2BeAlPd6
1.0
6.031 0.000 0.000
3.012 5.245 0.000
3.010 1.740 6.317
Ac Be Al Pd
2 1 1 6
direct
0.234 0.231 0.302
0.766 0.769 0.698
0.000 0.000 0.000
0.500 0.500 0.500
0.239 0.242 0.806
0.240 0.715 0.805
0.287 0.759 0.194
0.713 0.241 0.806
0.760 0.285 0.195
0.761 0.758 0.194
```

Properties
**Formation enthalpy at 0 K**: -716 kJ/mol of formula units
**Total DFT energy (no corrections)**: -0.199 hartree per atom

=====

(4)
VASP calculation (PBE-GGA) on Y2CuMoPt after structural relaxation.

```
Y2CuMoPt
1.0
5.424 0.000 0.000
0.000 5.424 0.000
0.000 0.000 4.827
Y Cu Mo Pt
2 1 1 1
direct
0.000 0.500 0.000
0.500 0.000 0.000
0.000 0.000 0.500
0.500 0.500 0.500
0.500 0.500 0.000
```

Properties
**Formation enthalpy at 0 K**: 235 kJ/mol of formula units
**Total DFT energy (no corrections)**: -0.231 hartree per atom

=====

(5)
VASP calculation (PBE-GGA) on Nb2TlZnBi after structural relaxation.

```
Nb2TlZnBi
1.0
5.362 0.000 0.000
0.000 5.362 0.000
0.000 0.000 5.926
Nb Tl Zn Bi
2 1 1 1
direct
0.000 0.500 0.000
0.500 0.000 0.000
0.000 0.000 0.500
0.500 0.500 0.500
0.000 0.000 0.000
```

Properties
**Formation enthalpy at 0 K**: 823 kJ/mol of formula units
**Total DFT energy (no corrections)**: -0.141 hartree per atom

=====

Question: Which of these has the highest total DFT energy (no corrections)?
Answer: Li3ZnS2

=====

Question: What is the total DFT energy (no corrections) in the fourth record?
Answer: -0.231 hartree per atom